Entry from OQMD via LeMat-Bulk: NaIrSO after structural relaxation (PBE).

energy relative to the lowest polymorph listed for this composition: 21.2 kJ/mol of atoms
SG: Pmc2_1, No. 26

abc: 3.7151 6.9079 5.8766
angles: 90.00 90.00 90.00
Fractional positions:
Na (0.0000, 0.2110, 0.0000)
Na (0.0000, 0.7890, 0.5000)
Ir (0.5000, 0.3547, 0.4273)
Ir (0.5000, 0.6453, 0.9273)
S (0.0000, 0.1926, 0.5197)
S (0.0000, 0.8074, 0.0197)
O (0.5000, 0.3892, 0.0931)
O (0.5000, 0.6108, 0.5931)

---

Entry from OQMD via LeMat-Bulk: NaIrSO after structural relaxation (PBE).

energy relative to the lowest polymorph listed for this composition: 0.0 kJ/mol of atoms
SG: P2_1/c, No. 14

abc: 6.2698 6.7954 5.9956
angles: 90.00 108.48 90.00
Fractional positions:
Na (0.0815, 0.2233, 0.0017)
Na (0.0815, 0.2767, 0.5017)
Na (0.9185, 0.7233, 0.4983)
Na (0.9185, 0.7767, 0.9983)
Ir (0.4814, 0.6223, 0.7538)
Ir (0.4814, 0.8777, 0.2538)
Ir (0.5186, 0.1223, 0.7462)
Ir (0.5186, 0.3777, 0.2462)
S (0.2870, 0.6118, 0.3515)
S (0.2870, 0.8882, 0.8515)
S (0.7130, 0.1118, 0.1485)
S (0.7130, 0.3882, 0.6485)
O (0.3548, 0.1356, 0.3641)
O (0.3548, 0.3644, 0.8641)
O (0.6452, 0.6356, 0.1359)
O (0.6452, 0.8644, 0.6359)

---

Entry from OQMD via LeMat-Bulk: NaIrSO after structural relaxation (PBE).

energy relative to the lowest polymorph listed for this composition: 24.5 kJ/mol of atoms
SG: P2_1, No. 4

abc: 5.0822 5.0345 9.6920
angles: 90.00 90.65 90.00
Fractional positions:
Na (0.2394, 0.0000, 0.0813)
Na (0.2551, 0.8976, 0.7716)
Na (0.7449, 0.3976, 0.2284)
Na (0.7606, 0.5000, 0.9187)
Ir (0.0342, 0.7607, 0.3757)
Ir (0.4589, 0.0449, 0.3768)
Ir (0.5411, 0.5449, 0.6232)
Ir (0.9658, 0.2607, 0.6243)
S (0.2460, 0.4058, 0.2768)
S (0.2556, 0.3966, 0.8288)
S (0.7444, 0.8966, 0.1712)
S (0.7540, 0.9058, 0.7232)
O (0.1483, 0.6309, 0.5644)
O (0.3549, 0.1765, 0.5639)
O (0.6451, 0.6765, 0.4361)
O (0.8517, 0.1309, 0.4356)

---

Entry from OQMD via LeMat-Bulk: NaIrSO after structural relaxation (PBE).

energy relative to the lowest polymorph listed for this composition: 3.5 kJ/mol of atoms
SG: Pca2_1, No. 29

abc: 6.0680 8.2089 5.6218
angles: 90.00 90.00 90.00
Fractional positions:
Na (0.0874, 0.1110, 0.0000)
Na (0.4126, 0.1110, 0.5000)
Na (0.5874, 0.8890, 0.0000)
Na (0.9126, 0.8890, 0.5000)
Ir (0.0643, 0.6583, 0.0042)
Ir (0.4357, 0.6583, 0.5042)
Ir (0.5643, 0.3417, 0.0042)
Ir (0.9357, 0.3417, 0.5042)
S (0.0905, 0.5829, 0.6201)
S (0.4095, 0.5829, 0.1201)
S (0.5905, 0.4171, 0.6201)
S (0.9095, 0.4171, 0.1201)
O (0.0502, 0.1361, 0.5950)
O (0.4498, 0.1361, 0.0950)
O (0.5502, 0.8639, 0.5950)
O (0.9498, 0.8639, 0.0950)

---

Entry from OQMD via LeMat-Bulk: NaIrSO after structural relaxation (PBE).

energy relative to the lowest polymorph listed for this composition: 86.4 kJ/mol of atoms
SG: P4/nmm, No. 129

abc: 3.6563 3.6563 8.3898
angles: 90.00 90.00 90.00
Fractional positions:
Na (0.2500, 0.7500, 0.0000)
Na (0.7500, 0.2500, 0.0000)
Ir (0.2500, 0.2500, 0.3563)
Ir (0.7500, 0.7500, 0.6437)
S (0.2500, 0.2500, 0.7653)
S (0.7500, 0.7500, 0.2347)
O (0.2500, 0.7500, 0.5000)
O (0.7500, 0.2500, 0.5000)

---

Entry from OQMD via LeMat-Bulk: Na4SbIrO6 after structural relaxation (PBE).

total energy: -65.19 eV per cell
SG: C2, No. 5

abc: 5.4661 5.4661 5.6001
angles: 99.44 99.44 119.93
Fractional positions:
Na (0.0000, 0.0000, 0.0000)
Na (0.1602, 0.8398, 0.5000)
Na (0.4902, 0.5098, 0.5000)
Na (0.8442, 0.1558, 0.5000)
Sb (0.6668, 0.3332, 0.0000)
Ir (0.3323, 0.6677, 0.0000)
O (0.0636, 0.4308, 0.2123)
O (0.2936, 0.2872, 0.7876)
O (0.4383, 0.0798, 0.2129)
O (0.5692, 0.9364, 0.7877)
O (0.7128, 0.7064, 0.2124)
O (0.9202, 0.5617, 0.7871)

---

Entry from OQMD via LeMat-Bulk: Na2ScIrO6 after structural relaxation (PBE).

energy relative to the lowest polymorph listed for this composition: 0.5 kJ/mol of atoms
SG: I4/m, No. 87

abc: 5.5191 5.5191 5.5191
angles: 120.93 120.93 88.39
Fractional positions:
Na (0.2500, 0.7500, 0.5000)
Na (0.7500, 0.2500, 0.5000)
Sc (0.0000, 0.0000, 0.0000)
Ir (0.5000, 0.5000, 0.0000)
O (0.2008, 0.6795, 0.8803)
O (0.2595, 0.2595, 0.0000)
O (0.3205, 0.2008, 0.5213)
O (0.6795, 0.7992, 0.4787)
O (0.7405, 0.7405, 0.0000)
O (0.7992, 0.3205, 0.1197)

---

Entry from OQMD via LeMat-Bulk: Na2ScIrO6 after structural relaxation (PBE).

energy relative to the lowest polymorph listed for this composition: 0.0 kJ/mol of atoms
SG: P2_1/c, No. 14

abc: 5.4354 5.4983 9.4688
angles: 90.00 124.95 90.00
Fractional positions:
Na (0.2446, 0.0349, 0.2502)
Na (0.2446, 0.4651, 0.7502)
Na (0.7554, 0.5349, 0.2498)
Na (0.7554, 0.9651, 0.7498)
Sc (0.5000, 0.0000, 0.0000)
Sc (0.5000, 0.5000, 0.5000)
Ir (0.0000, 0.0000, 0.5000)
Ir (0.0000, 0.5000, 0.0000)
O (0.1527, 0.2153, 0.9613)
O (0.1527, 0.2847, 0.4613)
O (0.2484, 0.6944, 0.9631)
O (0.2484, 0.8056, 0.4631)
O (0.3128, 0.0168, 0.7394)
O (0.3128, 0.4832, 0.2394)
O (0.6872, 0.5168, 0.7606)
O (0.6872, 0.9832, 0.2606)
O (0.7516, 0.1944, 0.5369)
O (0.7516, 0.3056, 0.0369)
O (0.8473, 0.7153, 0.5387)
O (0.8473, 0.7847, 0.0387)

---

Entry from OQMD via LeMat-Bulk: NaSm2IrO6 after structural relaxation (PBE).

total energy: -143.34 eV per cell
SG: P2_1/c, No. 14

abc: 5.4396 5.8947 9.4501
angles: 90.00 123.88 90.00
Fractional positions:
Na (0.0000, 0.0000, 0.0000)
Na (0.0000, 0.5000, 0.5000)
Sm (0.2217, 0.0776, 0.7465)
Sm (0.2217, 0.4224, 0.2465)
Sm (0.7783, 0.5776, 0.7535)
Sm (0.7783, 0.9224, 0.2535)
Ir (0.5000, 0.0000, 0.5000)
Ir (0.5000, 0.5000, 0.0000)
O (0.1444, 0.1751, 0.4452)
O (0.1444, 0.3249, 0.9452)
O (0.2678, 0.7142, 0.4293)
O (0.2678, 0.7858, 0.9293)
O (0.3939, 0.0522, 0.2653)
O (0.3939, 0.4478, 0.7653)
O (0.6061, 0.5522, 0.2347)
O (0.6061, 0.9478, 0.7347)
O (0.7322, 0.2142, 0.0707)
O (0.7322, 0.2858, 0.5707)
O (0.8556, 0.6751, 0.0548)
O (0.8556, 0.8249, 0.5548)

---

Entry from OQMD via LeMat-Bulk: NaTeIrO after structural relaxation (PBE).

energy relative to the lowest polymorph listed for this composition: 76.3 kJ/mol of atoms
SG: P4/nmm, No. 129

abc: 3.8229 3.8229 9.2656
angles: 90.00 90.00 90.00
Fractional positions:
Na (0.2500, 0.7500, 0.0000)
Na (0.7500, 0.2500, 0.0000)
Te (0.2500, 0.2500, 0.2567)
Te (0.7500, 0.7500, 0.7433)
Ir (0.2500, 0.2500, 0.6302)
Ir (0.7500, 0.7500, 0.3698)
O (0.2500, 0.7500, 0.5000)
O (0.7500, 0.2500, 0.5000)

---

Entry from OQMD via LeMat-Bulk: NaTeIrO after structural relaxation (PBE).

energy relative to the lowest polymorph listed for this composition: 0.0 kJ/mol of atoms
SG: Pmc2_1, No. 26

abc: 3.9240 7.0090 5.6887
angles: 90.00 90.00 90.00
Fractional positions:
Na (0.0000, 0.1389, 0.0000)
Na (0.0000, 0.8611, 0.5000)
Te (0.0000, 0.3212, 0.5030)
Te (0.0000, 0.6788, 0.0030)
Ir (0.5000, 0.5003, 0.2548)
Ir (0.5000, 0.4997, 0.7548)
O (0.5000, 0.2831, 0.0051)
O (0.5000, 0.7169, 0.5051)

---

Entry from OQMD via LeMat-Bulk: Na2ZnIrO6 after structural relaxation (PBE).

total energy: -51.81 eV per cell
SG: Fm-3m, No. 225

abc: 5.5158 5.5158 5.5158
angles: 60.00 60.00 60.00
Fractional positions:
Na (0.2500, 0.2500, 0.2500)
Na (0.7500, 0.7500, 0.7500)
Zn (0.0000, 0.0000, 0.0000)
Ir (0.5000, 0.5000, 0.5000)
O (0.2593, 0.2593, 0.7407)
O (0.2593, 0.7407, 0.2593)
O (0.2593, 0.7407, 0.7407)
O (0.7407, 0.2593, 0.2593)
O (0.7407, 0.2593, 0.7407)
O (0.7407, 0.7407, 0.2593)

---

Entry from OQMD via LeMat-Bulk: NaIrOs after structural relaxation (PBE).

energy relative to the lowest polymorph listed for this composition: 0.0 kJ/mol of atoms
SG: F-43m, No. 216

abc: 4.2230 4.2230 4.2230
angles: 60.00 60.00 60.00
Fractional positions:
Na (0.0000, 0.0000, 0.0000)
Ir (0.2500, 0.2500, 0.2500)
Os (0.5000, 0.5000, 0.5000)

---

Entry from OQMD via LeMat-Bulk: NaIrOs after structural relaxation (PBE).

energy relative to the lowest polymorph listed for this composition: 9.9 kJ/mol of atoms
SG: P-6m2, No. 187

abc: 4.4887 4.4887 7.8661
angles: 90.00 90.00 120.00
Fractional positions:
Na (0.0000, 0.0000, 0.0000)
Na (0.6667, 0.3333, 0.3380)
Na (0.6667, 0.3333, 0.6620)
Ir (0.0000, 0.0000, 0.3375)
Ir (0.0000, 0.0000, 0.6625)
Ir (0.6667, 0.3333, 0.0000)
Os (0.3333, 0.6667, 0.1559)
Os (0.3333, 0.6667, 0.5000)
Os (0.3333, 0.6667, 0.8441)

---

Entry from OQMD via LeMat-Bulk: NaIrOs after structural relaxation (PBE).

energy relative to the lowest polymorph listed for this composition: 119.1 kJ/mol of atoms
SG: F-43m, No. 216

abc: 4.2332 4.2332 4.2332
angles: 60.00 60.00 60.00
Fractional positions:
Na (0.0000, 0.0000, 0.0000)
Ir (0.7500, 0.7500, 0.7500)
Os (0.2500, 0.2500, 0.2500)

---

Entry from OQMD via LeMat-Bulk: Na2P2IrOs after structural relaxation (PBE).

total energy: -36.28 eV per cell
SG: P-4m2, No. 115

abc: 4.0319 4.0319 6.6616
angles: 90.00 90.00 90.00
Fractional positions:
Na (0.0000, 0.5000, 0.1442)
Na (0.5000, 0.0000, 0.8558)
P (0.0000, 0.5000, 0.6876)
P (0.5000, 0.0000, 0.3124)
Ir (0.5000, 0.5000, 0.5000)
Os (0.0000, 0.0000, 0.5000)

---

Entry from OQMD via LeMat-Bulk: NaP5Ir3 after structural relaxation (PBE).

total energy: -54.41 eV per cell
SG: P6/mmm, No. 191

abc: 5.4956 5.4956 7.1619
angles: 90.00 90.00 120.00
Fractional positions:
Na (0.0000, 0.0000, 0.0000)
P (0.0000, 0.0000, 0.5000)
P (0.3333, 0.6667, 0.2482)
P (0.3333, 0.6667, 0.7518)
P (0.6667, 0.3333, 0.2482)
P (0.6667, 0.3333, 0.7518)
Ir (0.0000, 0.5000, 0.5000)
Ir (0.5000, 0.0000, 0.5000)
Ir (0.5000, 0.5000, 0.5000)

---

Entry from OQMD via LeMat-Bulk: Na2PIr2 after structural relaxation (PBE).

total energy: -54.15 eV per cell
SG: P4/mbm, No. 127

abc: 5.9681 5.9681 5.0574
angles: 90.00 90.00 90.00
Fractional positions:
Na (0.1694, 0.3306, 0.0000)
Na (0.3306, 0.8306, 0.0000)
Na (0.6694, 0.1694, 0.0000)
Na (0.8306, 0.6694, 0.0000)
P (0.0000, 0.0000, 0.5000)
P (0.5000, 0.5000, 0.5000)
Ir (0.1511, 0.6511, 0.5000)
Ir (0.3489, 0.1511, 0.5000)
Ir (0.6511, 0.8489, 0.5000)
Ir (0.8489, 0.3489, 0.5000)

---

Entry from OQMD via LeMat-Bulk: NaP2IrPd after structural relaxation (PBE).

total energy: -28.47 eV per cell
SG: I-4m2, No. 119

abc: 5.5946 5.5946 5.5946
angles: 137.01 137.01 62.43
Fractional positions:
Na (0.0000, 0.0000, 0.0000)
P (0.3827, 0.3827, 0.0000)
P (0.6173, 0.6173, 0.0000)
Ir (0.7500, 0.2500, 0.5000)
Pd (0.2500, 0.7500, 0.5000)

---

Entry from OQMD via LeMat-Bulk: NaSiPIr2 after structural relaxation (PBE).

total energy: -32.87 eV per cell
SG: I4mm, No. 107

abc: 5.7015 5.7015 5.7015
angles: 138.41 138.41 60.28
Fractional positions:
Na (0.0000, 0.0000, 0.0000)
Si (0.3790, 0.3790, 0.0000)
P (0.6244, 0.6244, 0.0000)
Ir (0.2479, 0.7479, 0.5000)
Ir (0.7479, 0.2479, 0.5000)

---

Entry from OQMD via LeMat-Bulk: NaPaIr after structural relaxation (PBE).

total energy: -17.15 eV per cell
SG: F-43m, No. 216

abc: 4.4832 4.4832 4.4832
angles: 60.00 60.00 60.00
Fractional positions:
Na (0.0000, 0.0000, 0.0000)
Pa (0.2500, 0.2500, 0.2500)
Ir (0.7500, 0.7500, 0.7500)

---

Entry from OQMD via LeMat-Bulk: NaSnIrPb after structural relaxation (PBE).

energy relative to the lowest polymorph listed for this composition: 0.0 kJ/mol of atoms
SG: F-43m, No. 216

abc: 4.8713 4.8713 4.8713
angles: 60.00 60.00 60.00
Fractional positions:
Na (0.0000, 0.0000, 0.0000)
Sn (0.7500, 0.7500, 0.7500)
Ir (0.5000, 0.5000, 0.5000)
Pb (0.2500, 0.2500, 0.2500)

---

Entry from OQMD via LeMat-Bulk: NaSnIrPb after structural relaxation (PBE).

energy relative to the lowest polymorph listed for this composition: 33.7 kJ/mol of atoms
SG: F-43m, No. 216

abc: 5.0119 5.0119 5.0119
angles: 60.00 60.00 60.00
Fractional positions:
Na (0.0000, 0.0000, 0.0000)
Sn (0.7500, 0.7500, 0.7500)
Ir (0.2500, 0.2500, 0.2500)
Pb (0.5000, 0.5000, 0.5000)